1.
## AlW (PBE)

Data for a relaxed structure of AlW.

a b c (Å): 3.271 3.271 5.832
angles (deg): 90.00 90.00 90.00
Positions (direct):
Al 0.000 0.000 0.001
Al 0.500 0.500 0.249
W 0.000 0.000 0.507
W 0.500 0.500 0.743

- Space-group type: P4/nmm
- Formation energy: -112 meV/atom
- DOS(E_F): 0.84 states/eV/f.u.
- Electronic total energy: -8.4594 eV per atom
- Magnetization: 0.00 μB/f.u.

***

2.
## AlW (PBE)

Data for a relaxed structure of AlW.

a b c (Å): 6.984 7.576 9.995
angles (deg): 90.00 90.00 90.00
Positions (direct):
Al 0.177 0.000 0.000
Al 0.823 0.000 0.000
Al 0.073 0.750 0.250
Al 0.427 0.750 0.250
Al 0.177 0.500 0.500
Al 0.823 0.500 0.500
Al 0.073 0.250 0.750
Al 0.427 0.250 0.750
Al 0.677 0.000 0.500
Al 0.323 0.000 0.500
Al 0.573 0.750 0.750
Al 0.927 0.750 0.750
Al 0.677 0.500 0.000
Al 0.323 0.500 0.000
Al 0.573 0.250 0.250
Al 0.927 0.250 0.250
W 0.000 0.678 0.000
W 0.000 0.322 0.000
W 0.250 0.072 0.250
W 0.250 0.428 0.250
W 0.000 0.178 0.500
W 0.000 0.822 0.500
W 0.250 0.572 0.750
W 0.250 0.928 0.750
W 0.500 0.678 0.500
W 0.500 0.322 0.500
W 0.750 0.072 0.750
W 0.750 0.428 0.750
W 0.500 0.178 0.000
W 0.500 0.822 0.000
W 0.750 0.572 0.250
W 0.750 0.928 0.250

- Space-group type: Fddd
- Formation energy: 681 meV/atom
- DOS(E_F): 2.07 states/eV/f.u.
- Electronic total energy: -7.6672 eV per atom
- Magnetization: 0.00 μB/f.u.

***

3.
## Al2W (PBE)

Data for a relaxed structure of Al2W.

a b c (Å): 5.193 5.193 6.874
angles (deg): 74.58 74.58 31.81
Positions (direct):
Al 0.035 0.035 0.686
Al 0.354 0.354 0.036
Al 0.646 0.646 0.964
Al 0.965 0.965 0.314
W 0.690 0.690 0.348
W 0.310 0.310 0.652

- Space-group type: C2/m
- Formation energy: -35 meV/atom
- DOS(E_F): 1.50 states/eV/f.u.
- Electronic total energy: -6.8477 eV per atom
- Magnetization: 0.00 μB/f.u.

***

4.
## AlW3 (PBE)

Data for a relaxed structure of AlW3.

a b c (Å): 5.207 5.207 5.207
angles (deg): 144.09 129.44 63.56
Positions (direct):
Al 0.084 0.000 0.084
W 0.583 0.500 0.083
W 0.825 0.242 0.583
W 0.341 0.758 0.583

- Space-group type: Immm
- Formation energy: 27 meV/atom
- DOS(E_F): 2.86 states/eV/f.u.
- Electronic total energy: -10.6238 eV per atom
- Magnetization: 0.00 μB/f.u.

***

5.
## AlW2 (PBE)

Data for a relaxed structure of AlW2.

a b c (Å): 5.308 5.308 8.558
angles (deg): 90.00 90.00 120.00
Positions (direct):
Al 0.333 0.667 0.063
Al 0.667 0.333 0.563
Al 0.667 0.333 0.937
Al 0.333 0.667 0.437
W 0.000 0.000 0.000
W 0.000 0.000 0.500
W 0.829 0.658 0.250
W 0.171 0.342 0.750
W 0.342 0.171 0.250
W 0.829 0.171 0.250
W 0.171 0.829 0.750
W 0.658 0.829 0.750

- Space-group type: P6_3/mmc
- Formation energy: 441 meV/atom
- DOS(E_F): 2.09 states/eV/f.u.
- Electronic total energy: -9.4420 eV per atom
- Magnetization: 0.00 μB/f.u.

***

6.
## AlW (PBE)

Data for a relaxed structure of AlW.

a b c (Å): 7.854 7.854 4.481
angles (deg): 90.00 90.00 90.00
Positions (direct):
Al 0.216 0.500 0.000
Al 0.784 0.500 0.000
Al 0.500 0.784 0.000
Al 0.500 0.216 0.000
Al 0.716 0.000 0.500
Al 0.284 0.000 0.500
Al 0.000 0.284 0.500
Al 0.000 0.716 0.500
W 0.833 0.833 0.000
W 0.833 0.167 0.000
W 0.167 0.833 0.000
W 0.167 0.167 0.000
W 0.333 0.333 0.500
W 0.333 0.667 0.500
W 0.667 0.333 0.500
W 0.667 0.667 0.500

- Space-group type: I4/mmm
- Formation energy: 86 meV/atom
- DOS(E_F): 1.05 states/eV/f.u.
- Electronic total energy: -8.2620 eV per atom
- Magnetization: 0.00 μB/f.u.